(1)
DFT (PBE) results for an optimized crystal structure of LiPm2Al4Cu3.

Cell and atoms, written as CIF:
```
data_LiPm2Al4Cu3
_space_group_name_H-M_alt 'P -4 m 2'
_space_group_IT_number 115
_space_group_name_Hall 'P -4 -2'
_cell_length_a 4.227
_cell_length_b 4.227
_cell_length_c 10.357
_cell_angle_alpha 90.00
_cell_angle_beta 90.00
_cell_angle_gamma 90.00
loop_
_atom_site_label
_atom_site_type_symbol
_atom_site_fract_x
_atom_site_fract_y
_atom_site_fract_z
Li1 Li 0.000 0.000 0.000
Pm1 Pm 0.000 0.500 0.747
Al1 Al 0.000 0.000 0.500
Al2 Al 0.000 0.500 0.136
Al3 Al 0.500 0.500 0.500
Cu1 Cu 0.000 0.500 0.371
Cu2 Cu 0.500 0.500 0.000
```

The calculation puts the magnetization at 0.00 μB per cell.


(2)
DFT (PBE) results for an optimized crystal structure of LiPr2AlCu6.

Cell and atoms, written as CIF:
```
data_LiPr2AlCu6
_space_group_name_H-M_alt 'C 1 2/m 1'
_space_group_IT_number 12
_space_group_name_Hall '-C 2y'
_cell_length_a 11.974
_cell_length_b 5.081
_cell_length_c 8.375
_cell_angle_alpha 90.00
_cell_angle_beta 133.40
_cell_angle_gamma 90.00
loop_
_atom_site_label
_atom_site_type_symbol
_atom_site_fract_x
_atom_site_fract_y
_atom_site_fract_z
Li1 Li 0.000 0.000 0.000
Pr1 Pr 0.247 0.000 0.794
Al1 Al 0.000 0.500 0.500
Cu1 Cu 0.017 0.250 0.268
Cu2 Cu 0.249 0.000 0.421
```

The calculation puts the magnetization at 0.00 μB per cell.


| no. | calculated formation energy (eV/atom) | calculated total energy (eV per atom) |
| --- | --- | --- |
| 1 | -0.35 | -4.214 |
| 2 | -0.10 | -4.083 |